1.
Entry from the Alexandria database: a relaxed Be2Sb crystal (PBE).

Lattice parameters (Å, degrees): 3.2275 3.2275 5.2705 90.00 90.00 120.00
Space group P-3m1 (No. 164)
Symmetry-distinct sites (fractional):
Be 0.3333 0.6667 0.1357 x2
Sb 0.0000 0.0000 0.5000 x1

## Properties
The energy relative to the elements, uncorrected is 716 meV/atom. For the density, the calculation gives 4882 kg/m3. Its crystal system is trigonal. As for the calculated volume: 15.85 Å³/atom. The energy relative to the lowest polymorph listed for this composition is 0.519 eV/atom.

***

2.
Entry from the Alexandria database: a relaxed BeSb3 crystal (PBE).

Lattice parameters (Å, degrees): 5.045 5.045 3.706 90.00 90.00 90.00
Space group P4/mmm (No. 123)
Symmetry-distinct sites (fractional):
Be 0.000 0.000 0.000 x1
Sb 0.000 0.500 0.500 x2
Sb 0.500 0.500 0.000 x1

## Properties
The energy relative to the elements, uncorrected is 604 meV/atom. For the density, the calculation gives 6589 kg/m3. Its crystal system is tetragonal. As for the calculated volume: 23.58 Å³/atom. The energy relative to the lowest polymorph listed for this composition is 0.347 eV/atom.